No. 1
## Nb3ZnOs (PBE-GGA)

Data for Nb3ZnOs after structural relaxation.

Cell lengths 4.858, 4.858, 4.858 Å; angles 90.00, 90.00, 90.00 degrees
Sites, in units of the cell vectors:
Nb 0.500 0.000 0.000
Nb 0.000 0.500 0.000
Nb 0.000 0.000 0.500
Os 0.000 0.000 0.000
Zn 0.500 0.500 0.500

* ΔE to the lowest computed polymorph: 0.00 eV/f.u.
* E: -37.48 eV/cell
* energy relative to the elements: 1.047 eV/atom
* crystal system: cubic

***

No. 2
## La2Sm3Si4 (PBE-GGA)

Data for La2Sm3Si4 after structural relaxation.

Cell lengths 7.734, 7.903, 7.959 Å; angles 90.00, 90.00, 105.96 degrees
Sites, in units of the cell vectors:
La 0.410 0.798 0.681
La 0.090 0.202 0.181
La 0.590 0.202 0.319
La 0.910 0.798 0.819
Si 0.881 0.495 0.115
Si 0.619 0.505 0.615
Si 0.381 0.495 0.385
Si 0.114 0.920 0.472
Si 0.386 0.080 0.972
Si 0.614 0.920 0.028
Si 0.886 0.080 0.528
Si 0.119 0.505 0.885
Sm 0.745 0.757 0.318
Sm 0.500 0.500 0.000
Sm 0.000 0.500 0.500
Sm 0.755 0.243 0.818
Sm 0.245 0.757 0.182
Sm 0.255 0.243 0.682

* E_form (uncorrected): -0.72 eV/atom
* E: -104.45 eV/cell
* crystal system: monoclinic

***

No. 3
## V2BW (PBE-GGA)

Data for V2BW after structural relaxation.

Cell lengths 2.908, 2.908, 7.093 Å; angles 78.17, 78.17, 60.00 degrees
Sites, in units of the cell vectors:
B 0.000 0.000 0.000
W 0.500 0.500 0.500
V 0.727 0.727 0.818
V 0.273 0.273 0.182

* E: -38.06 eV/cell
* energy relative to the elements: -0.048 eV/atom
* crystal system: trigonal